This record from the Alexandria database describes an optimized crystal structure of MoOs2Pb. The functional is GGA-PBEsol.

Cell: 3.925 3.925 8.354 Å, 90.00 90.00 90.00°
Space group I-4m2 (No. 119)
Symmetry-distinct sites (fractional):
1 Mo 0.000 0.000 0.000 [2 per cell]
2 Os 0.000 0.000 0.500 [2 per cell]
3 Os 0.000 0.500 0.250 [2 per cell]
4 Pb 0.000 0.500 0.750 [2 per cell]

Properties
DFT total energy, eV per atom: -9.260


This record from the Alexandria database describes an optimized crystal structure of Mo2OsPb. The functional is GGA-PBEsol.

Cell: 2.8989 2.8989 27.9093 Å, 90.00 90.00 120.00°
Space group R-3m (No. 166, hexagonal axes)
Symmetry-distinct sites (fractional):
1 Mo 0.0000 0.0000 0.2425 [6 per cell]
2 Os 0.0000 0.0000 0.5000 [3 per cell]
3 Pb 0.0000 0.0000 0.0000 [3 per cell]

Properties
DFT total energy, eV per atom: -9.352


This record from the Alexandria database describes an optimized crystal structure of MoOsPb2. The functional is GGA-PBEsol.

Cell: 8.887 3.121 5.580 Å, 90.00 101.84 90.00°
Space group C2/m (No. 12)
Symmetry-distinct sites (fractional):
1 Mo 0.000 0.000 0.000 [2 per cell]
2 Os 0.000 0.500 0.500 [2 per cell]
3 Pb 0.247 0.000 0.746 [4 per cell]

Properties
DFT total energy, eV per atom: -7.008
ΔE to the lowest computed polymorph, meV per atom: 392


This record from the Alexandria database describes an optimized crystal structure of MoOs2Pb. The functional is GGA-PBEsol.

Cell: 2.9085 2.9085 27.4551 Å, 90.00 90.00 120.00°
Space group R-3m (No. 166, hexagonal axes)
Symmetry-distinct sites (fractional):
1 Mo 0.0000 0.0000 0.0000 [3 per cell]
2 Os 0.0000 0.0000 0.2588 [6 per cell]
3 Pb 0.0000 0.0000 0.5000 [3 per cell]

Properties
DFT total energy, eV per atom: -9.408


This record from the Alexandria database describes an optimized crystal structure of MoOs2Pb. The functional is GGA-PBEsol.

Cell: 2.838 3.937 6.295 Å, 90.00 101.48 90.00°
Space group Pm (No. 6)
Symmetry-distinct sites (fractional):
1 Mo 0.000 0.000 0.000 [1 per cell]
2 Os 0.173 0.000 0.396 [1 per cell]
3 Os 0.601 0.500 0.228 [1 per cell]
4 Pb 0.395 0.500 0.728 [1 per cell]

Properties
DFT total energy, eV per atom: -9.386


This record from the Alexandria database describes an optimized crystal structure of MoOsPb2. The functional is GGA-PBEsol.

Cell: 8.193 3.118 7.305 Å, 90.00 97.44 90.00°
Space group Cm (No. 8)
Symmetry-distinct sites (fractional):
1 Mo 0.000 0.000 0.000 [2 per cell]
2 Os 0.272 0.000 0.896 [2 per cell]
3 Pb 0.025 0.500 0.635 [2 per cell]
4 Pb 0.245 0.500 0.261 [2 per cell]

Properties
DFT total energy, eV per atom: -7.400
ΔE to the lowest computed polymorph, meV per atom: 0


This record from the Alexandria database describes an optimized crystal structure of MoOsPb3. The functional is GGA-PBEsol.

Cell: 5.198 5.198 5.198 Å, 90.00 90.00 90.00°
Space group Pm-3m (No. 221)
Symmetry-distinct sites (fractional):
1 Mo 0.000 0.000 0.000 [1 per cell]
2 Os 0.500 0.500 0.500 [1 per cell]
3 Pb 0.000 0.500 0.500 [3 per cell]

Properties
DFT total energy, eV per atom: -5.765


This record from the Alexandria database describes an optimized crystal structure of Mo2OsPb. The functional is GGA-PBEsol.

Cell: 9.423 3.015 4.885 Å, 90.00 103.13 90.00°
Space group Cm (No. 8)
Symmetry-distinct sites (fractional):
1 Mo 0.000 0.000 0.000 [2 per cell]
2 Mo 0.234 0.500 0.235 [2 per cell]
3 Os 0.469 0.000 0.419 [2 per cell]
4 Pb 0.234 0.000 0.728 [2 per cell]

Properties
DFT total energy, eV per atom: -9.334


- What is the formula in the fifth record?
  MoOs2Pb


- Among the records above, which one has the highest DFT total energy?
  MoOsPb3


Copy entry 5 word for word.
This record from the Alexandria database describes an optimized crystal structure of MoOs2Pb. The functional is GGA-PBEsol.

Cell: 2.838 3.937 6.295 Å, 90.00 101.48 90.00°
Space group Pm (No. 6)
Symmetry-distinct sites (fractional):
1 Mo 0.000 0.000 0.000 [1 per cell]
2 Os 0.173 0.000 0.396 [1 per cell]
3 Os 0.601 0.500 0.228 [1 per cell]
4 Pb 0.395 0.500 0.728 [1 per cell]

Properties
DFT total energy, eV per atom: -9.386


- The lowest DFT total energy belongs to which entry?
  number 4